No. 1
# Pu2ZrS3

Crystalline Pu2ZrS3 at its relaxed geometry (PBE, Alexandria).

a b c (Å): 3.8048 3.8048 19.6591
angles (deg): 90.00 90.00 120.00
Atoms (fractional coordinates):
Pu  0.3333  0.6667  0.9136
Pu  0.6667  0.3333  0.0864
Pu  0.6667  0.3333  0.4136
Pu  0.3333  0.6667  0.5864
Zr  0.0000  0.0000  0.2500
Zr  0.0000  0.0000  0.7500
S  0.0000  0.0000  0.0000
S  0.3333  0.6667  0.1715
S  0.3333  0.6667  0.3285
S  0.0000  0.0000  0.5000
S  0.6667  0.3333  0.6715
S  0.6667  0.3333  0.8285

Calculated values
Space-group type: P6_3/mmc
Raw total energy (eV for the cell shown): -118.74
Total moment (μB/cell): 23.50
Formation energy from raw total energies (eV/atom): -1.63
D(E_F) (states/eV/atom): 2.6054


No. 2
# Pu2Zr2S7

Crystalline Pu2Zr2S7 at its relaxed geometry (PBE, Alexandria).

a b c (Å): 3.7853 8.2800 8.2800
angles (deg): 60.71 76.79 76.79
Atoms (fractional coordinates):
Pu  0.7318  0.8595  0.6769
Pu  0.2682  0.3231  0.1405
Zr  0.0000  0.7776  0.2224
Zr  0.5000  0.3357  0.6643
S  0.8221  0.0595  0.2963
S  0.8698  0.4193  0.8410
S  0.5000  0.0077  0.9923
S  0.6037  0.5007  0.2919
S  0.3963  0.7081  0.4993
S  0.1779  0.7037  0.9405
S  0.1302  0.1590  0.5807

Calculated values
Space-group type: Imm2
Raw total energy (eV for the cell shown): -91.40
Total moment (μB/cell): 9.65
Formation energy from raw total energies (eV/atom): -1.52
D(E_F) (states/eV/atom): 1.6391


No. 3
# Pu5ZrS6

Crystalline Pu5ZrS6 at its relaxed geometry (PBE, Alexandria).

a b c (Å): 6.7550 6.7550 6.7633
angles (deg): 99.58 99.58 120.05
Atoms (fractional coordinates):
S  0.4093  0.0816  0.2453
S  0.9184  0.5907  0.7547
S  0.2451  0.2451  0.7527
S  0.7549  0.7549  0.2473
S  0.0816  0.4093  0.2453
S  0.5907  0.9184  0.7547
Zr  0.0000  0.0000  0.0000
Pu  0.8328  0.1672  0.5000
Pu  0.6663  0.3337  0.0000
Pu  0.5000  0.5000  0.5000
Pu  0.3337  0.6663  0.0000
Pu  0.1672  0.8328  0.5000

Calculated values
Space-group type: C2/m
Raw total energy (eV for the cell shown): -125.58
Total moment (μB/cell): 27.12
Formation energy from raw total energies (eV/atom): -1.72
D(E_F) (states/eV/atom): 3.7158


No. 4
# PuZr2S6

Crystalline PuZr2S6 at its relaxed geometry (PBE, Alexandria).

a b c (Å): 4.7857 6.9699 7.5680
angles (deg): 73.98 71.57 69.92
Atoms (fractional coordinates):
Pu  0.0000  0.5000  0.5000
Zr  0.1778  0.7577  0.8866
Zr  0.8222  0.2423  0.1134
S  0.7491  0.6259  0.8759
S  0.2509  0.3741  0.1241
S  0.9625  0.8592  0.2158
S  0.3701  0.7109  0.5488
S  0.0375  0.1408  0.7842
S  0.6299  0.2891  0.4512

Calculated values
Space-group type: C2/m
Raw total energy (eV for the cell shown): -68.33
Total moment (μB/cell): 3.99
Formation energy from raw total energies (eV/atom): -1.35
D(E_F) (states/eV/atom): 1.0271